Here is crystalline Pr2SeO2 at its relaxed geometry from Alexandria. Energies are from GGA-PBE.

Total magnetic moment: 0.00 Bohr magnetons per cell
Symmetry: I4/mmm (139)
Raw formation energy: -2.9412 eV/atom

abc: 4.005 4.005 6.973
angles: 106.69 106.69 90.00
Element x y z (fractional)
O (0.750, 0.250, 0.500)
O (0.250, 0.750, 0.500)
Pr (0.654, 0.654, 0.307)
Pr (0.346, 0.346, 0.693)
Se (0.000, 0.000, 0.000)